# 1
Here is La2CuGePt6 after structural relaxation from Alexandria via LeMat-Bulk. Energies are from GGA-PBE.

Cell: 5.659 8.342 8.342 Å, 39.65 70.17 90.00°
Fractional coordinates of all 10 atoms:
La 0.705 0.295 0.590
La 0.295 0.705 0.410
Pt 0.751 0.249 0.014
Pt 0.765 0.751 0.986
Pt 0.249 0.751 0.986
Pt 0.249 0.235 0.501
Pt 0.751 0.765 0.499
Pt 0.235 0.249 0.014
Cu 0.000 0.000 0.000
Ge 0.500 0.500 0.000

Results
The total energy is -62.289 eV/cell.



# 2
Here is LaCuGePt3 after structural relaxation from Alexandria via LeMat-Bulk. Energies are from GGA-PBE.

Cell: 5.751 6.979 6.828 Å, 120.74 90.00 90.00°
Fractional coordinates of all 12 atoms:
Cu 0.750 0.044 0.087
Cu 0.250 0.956 0.913
Pt 0.500 0.714 0.000
Pt 0.000 0.714 0.000
Pt 0.250 0.176 0.352
Pt 0.500 0.286 0.000
Pt 0.750 0.824 0.648
Pt 0.000 0.286 0.000
Ge 0.750 0.620 0.239
Ge 0.250 0.380 0.761
La 0.250 0.714 0.428
La 0.750 0.286 0.572

Results
The total energy is -70.680 eV/cell.



# 3
Here is La2CuGe4Pt3 after structural relaxation from Alexandria via LeMat-Bulk. Energies are from GGA-PBE.

Cell: 4.394 4.394 10.154 Å, 90.00 90.00 90.00°
Fractional coordinates of all 10 atoms:
Cu 0.500 0.500 0.500
Ge 0.500 0.000 0.628
Ge 0.000 0.000 0.000
Ge 0.500 0.500 0.000
Ge 0.000 0.500 0.372
Pt 0.000 0.000 0.500
Pt 0.500 0.000 0.875
Pt 0.000 0.500 0.125
La 0.000 0.500 0.747
La 0.500 0.000 0.253

Results
The total energy is -59.407 eV/cell.



# 4
Here is La2Cu3Ge4Pt after structural relaxation from Alexandria via LeMat-Bulk. Energies are from GGA-PBE.

Cell: 4.302 4.302 10.168 Å, 90.00 90.00 90.00°
Fractional coordinates of all 10 atoms:
Cu 0.000 0.500 0.126
Cu 0.000 0.000 0.500
Cu 0.500 0.000 0.874
Ge 0.500 0.000 0.633
Ge 0.000 0.500 0.367
Ge 0.000 0.000 0.000
Ge 0.500 0.500 0.000
Pt 0.500 0.500 0.500
La 0.500 0.000 0.249
La 0.000 0.500 0.751

Results
The total energy is -53.007 eV/cell.



# 5
Here is LaPuCu2Ge2 after structural relaxation from Alexandria via LeMat-Bulk. Energies are from GGA-PBE.

Cell: 4.299 4.299 7.839 Å, 90.00 90.00 120.00°
Site moments in Bohr magnetons follow the coordinates.
Fractional coordinates of all 6 atoms:
Ge 0.333 0.667 0.235  -0.08
Ge 0.667 0.333 0.765  -0.08
Cu 0.333 0.667 0.769  -0.02
Cu 0.667 0.333 0.231  -0.02
Pu 0.000 0.000 0.000  5.12
La 0.000 0.000 0.500  -0.01

Results
The total energy is -39.663 eV/cell.



# 6
Here is LaPu2Cu2Ge2 after structural relaxation from Alexandria via LeMat-Bulk. Energies are from GGA-PBE.

Cell: 4.060 4.060 9.567 Å, 77.75 77.75 60.00°
Fractional coordinates of all 7 atoms:
Ge 0.257 0.257 0.228
Ge 0.743 0.743 0.772
Cu 0.419 0.419 0.744
Cu 0.581 0.581 0.256
La 0.000 0.000 0.000
Pu 0.152 0.152 0.544
Pu 0.848 0.848 0.456

Results
The total energy is -52.938 eV/cell.



Question: Among the records above, which one has the highest total energy?
Answer: LaPuCu2Ge2